1.
Ir2CN PBE optimized geometry; raw formation energy = 159.4 kJ/mol of atoms; volume = 41 Å³ per cell
1.0
-3.511 -1.623 -0.190
-2.925 1.902 -1.682
-1.393 -1.209 -3.406
C Ir N
1 2 1
Cartesian
0.000 0.000 0.000 C
-1.957 -0.233 -1.319 Ir
-5.871 -0.698 -3.958 Ir
-3.914 -0.465 -2.639 N



2.
Ir2CN PBE optimized geometry; raw formation energy = 58.5 kJ/mol of atoms; volume = 100 Å³ per cell
1.0
-2.578 3.130 2.230
-3.770 -1.539 -2.199
-3.923 -2.260 3.438
C Ir N
2 4 2
Cartesian
-3.174 0.795 0.016 C
-5.434 -1.502 0.627 C
-3.044 1.175 1.961 Ir
-3.679 -1.112 -0.219 Ir
-5.352 -1.110 2.573 Ir
-8.468 -0.291 2.622 Ir
0.000 0.000 0.000 N
-4.838 0.833 2.842 N



3.
Ir2C3N6 PBE optimized geometry; raw formation energy = 53.8 kJ/mol of atoms; volume = 136 Å³ per cell
1.0
-3.818 7.736 3.278
-3.094 -0.965 0.289
0.310 0.517 5.047
Ir C N
2 3 6
Cartesian
-3.865 1.841 1.410 Ir
-2.738 5.447 7.205 Ir
-4.413 4.623 4.829 C
-2.189 2.665 3.785 C
0.155 0.258 2.524 C
-2.051 2.583 4.991 N
-4.551 4.705 3.624 N
-2.381 2.912 2.549 N
-4.221 4.376 6.066 N
-3.256 0.033 1.886 N
-3.346 7.256 6.728 N



4.
Nd2IrC2N6 PBE optimized geometry; raw formation energy = -31.4 kJ/mol of atoms; volume = 122 Å³ per cell
1.0
5.128 0.000 0.000
2.564 4.441 0.000
2.564 1.480 5.338
Nd Ir C N
2 1 2 6
Cartesian
7.692 4.441 3.505 Nd
2.564 1.480 1.834 Nd
0.000 0.000 0.000 Ir
5.128 2.961 4.096 C
5.128 2.961 1.243 C
6.311 3.644 1.345 N
3.945 3.644 1.345 N
5.128 1.594 1.345 N
5.128 4.327 3.994 N
6.311 2.277 3.994 N
3.945 2.277 3.994 N



5.
Nd3IrC2N6 PBE optimized geometry; raw formation energy = -40.3 kJ/mol of atoms; volume = 159 Å³ per cell
1.0
-0.894 -3.099 4.143
-0.535 -1.901 -4.865
6.409 -1.834 0.012
Nd Ir C N
3 1 2 6
Cartesian
3.666 -3.537 -1.854 Nd
1.314 -3.297 1.144 Nd
0.000 0.000 0.000 Nd
3.205 -0.917 0.006 Ir
3.808 -4.011 1.149 C
1.172 -2.823 -1.859 C
0.744 -4.032 -1.340 N
1.395 -1.754 -1.011 N
1.152 -2.620 -3.227 N
3.585 -5.080 0.300 N
4.236 -2.802 0.629 N
3.828 -4.214 2.517 N



6.
IrCN2O PBE optimized geometry; raw formation energy = 201.3 kJ/mol of atoms; volume = 39 Å³ per cell
1.0
3.371 0.000 0.000
0.000 3.371 0.000
0.000 0.000 3.472
C Ir O N
1 1 1 2
Cartesian
0.000 0.000 0.000 C
1.685 1.685 1.736 Ir
0.000 0.000 1.736 O
0.000 1.685 0.000 N
1.685 0.000 0.000 N